1.
Density functional theory data (PBE) for a geometry-optimized Cu4Br2ClO structure.

Summary:
Total DFT energy (no corrections) (eV/cell): -58.25
Density of states at the Fermi level (states/eV/cell): 16.54
Raw formation energy (eV per formula unit): -2.6
M_tot (Bohr magnetons per cell): 0.00
Calculated volume (Å³ per cell): 305
Crystal system: orthorhombic

Unit cell a=7.5208 b=6.4798 c=6.2596 alpha=90.00 beta=90.00 gamma=90.00
Space group Pmn2_1 (No. 31)
Asymmetric unit:
Cu (0.0000, 0.1001, 0.0000) [2 per cell]
Cu (0.0000, 0.8631, 0.4269) [2 per cell]
Cu (0.2091, 0.6979, 0.0135) [4 per cell]
Br (0.2491, 0.6706, 0.6237) [4 per cell]
Cl (0.0000, 0.1618, 0.6289) [2 per cell]
O (0.0000, 0.8291, 0.1253) [2 per cell]

***

2.
Density functional theory data (PBE) for a geometry-optimized Cu4BrCl2O structure.

Summary:
Total DFT energy (no corrections) (eV/cell): -59.26
Density of states at the Fermi level (states/eV/cell): 16.54
Raw formation energy (eV per formula unit): -2.9
M_tot (Bohr magnetons per cell): 0.08
Calculated volume (Å³ per cell): 294
Crystal system: orthorhombic

Unit cell a=7.3649 b=6.4932 c=6.1380 alpha=90.00 beta=90.00 gamma=90.00
Space group Pmn2_1 (No. 31)
Asymmetric unit:
Cu (0.0000, 0.1000, 0.0000) [2 per cell]
Cu (0.0000, 0.8753, 0.3696) [2 per cell]
Cu (0.1990, 0.6622, 0.9444) [4 per cell]
Br (0.0000, 0.1722, 0.5908) [2 per cell]
Cl (0.2483, 0.6728, 0.5702) [4 per cell]
O (0.0000, 0.8120, 0.0692) [2 per cell]

***

3.
Density functional theory data (PBE) for a geometry-optimized PaCu3Br2Cl6 structure.

Summary:
Total DFT energy (no corrections) (eV/cell): -97.09
Density of states at the Fermi level (states/eV/cell): 5.19
Raw formation energy (eV per formula unit): -12.3
M_tot (Bohr magnetons per cell): 0.13
Calculated volume (Å³ per cell): 797
Crystal system: monoclinic

Unit cell a=19.2134 b=6.9048 c=6.0096 alpha=90.00 beta=91.10 gamma=90.00
Space group C2/m (No. 12)
Asymmetric unit:
Pa (0.0000, 0.0000, 0.0000) [2 per cell]
Cu (0.0000, 0.5000, 0.5000) [2 per cell]
Cu (0.2500, 0.2500, 0.0000) [4 per cell]
Br (0.2243, 0.5000, 0.2299) [4 per cell]
Cl (0.0509, 0.2629, 0.7389) [8 per cell]
Cl (0.1133, 0.0000, 0.2164) [4 per cell]

***

4.
Density functional theory data (PBE) for a geometry-optimized PaCu3Br6Cl2 structure.

Summary:
Total DFT energy (no corrections) (eV/cell): -91.00
Density of states at the Fermi level (states/eV/cell): 2.55
Raw formation energy (eV per formula unit): -10.0
M_tot (Bohr magnetons per cell): 0.14
Calculated volume (Å³ per cell): 673
Crystal system: monoclinic

Unit cell a=13.4097 b=7.6730 c=7.1704 alpha=90.00 beta=114.21 gamma=90.00
Space group C2/m (No. 12)
Asymmetric unit:
Pa (0.0000, 0.0000, 0.0000) [2 per cell]
Cu (0.0000, 0.5000, 0.5000) [2 per cell]
Cu (0.2500, 0.2500, 0.0000) [4 per cell]
Br (0.1234, 0.0000, 0.7663) [4 per cell]
Br (0.1307, 0.2511, 0.2447) [8 per cell]
Cl (0.1386, 0.5000, 0.7907) [4 per cell]

***

5.
Density functional theory data (PBE) for a geometry-optimized CuPb3Br6Cl2 structure.

Summary:
Total DFT energy (no corrections) (eV/cell): -76.14
Density of states at the Fermi level (states/eV/cell): 9.54
Raw formation energy (eV per formula unit): -9.1
M_tot (Bohr magnetons per cell): 2.08
Calculated volume (Å³ per cell): 817
Crystal system: monoclinic

Unit cell a=14.6100 b=8.5351 c=6.5590 alpha=90.00 beta=92.03 gamma=90.00
Space group C2/m (No. 12)
Asymmetric unit:
Cu (0.0000, 0.0000, 0.0000) [2 per cell]
Pb (0.0000, 0.5000, 0.5000) [2 per cell]
Pb (0.2500, 0.2500, 0.0000) [4 per cell]
Br (0.0780, 0.2352, 0.2444) [8 per cell]
Br (0.1315, 0.0000, 0.7791) [4 per cell]
Cl (0.1728, 0.5000, 0.7420) [4 per cell]

***

6.
Density functional theory data (PBE) for a geometry-optimized Cu2PtBrCl structure.

Summary:
Total DFT energy (no corrections) (eV/cell): -14.01
Density of states at the Fermi level (states/eV/cell): 0.58
Raw formation energy (eV per formula unit): 3.7
M_tot (Bohr magnetons per cell): 0.00
Calculated volume (Å³ per cell): 108
Crystal system: tetragonal

Unit cell a=4.7736 b=4.7736 c=4.7598 alpha=90.00 beta=90.00 gamma=90.00
Space group P4/mmm (No. 123)
Asymmetric unit:
Cu (0.0000, 0.5000, 0.0000) [2 per cell]
Pt (0.0000, 0.0000, 0.5000) [1 per cell]
Br (0.0000, 0.0000, 0.0000) [1 per cell]
Cl (0.5000, 0.5000, 0.5000) [1 per cell]

***

7.
Density functional theory data (PBE) for a geometry-optimized Rb3Cu2Br2Cl5 structure.

Summary:
Total DFT energy (no corrections) (eV/cell): -75.44
Density of states at the Fermi level (states/eV/cell): 7.22
Raw formation energy (eV per formula unit): -14.0
M_tot (Bohr magnetons per cell): 0.00
Calculated volume (Å³ per cell): 658
Crystal system: tetragonal

Unit cell a=4.9898 b=4.9898 c=26.4358 alpha=90.00 beta=90.00 gamma=90.00
Space group I4/mmm (No. 139)
Asymmetric unit:
Rb (0.0000, 0.0000, 0.0000) [2 per cell]
Rb (0.0000, 0.0000, 0.1759) [4 per cell]
Cu (0.0000, 0.0000, 0.4088) [4 per cell]
Br (0.0000, 0.0000, 0.3120) [4 per cell]
Cl (0.0000, 0.0000, 0.5000) [2 per cell]
Cl (0.0000, 0.5000, 0.0896) [8 per cell]

***

8.
Density functional theory data (PBE) for a geometry-optimized RbCuBrCl2 structure.

Summary:
Total DFT energy (no corrections) (eV/cell): -15.45
Density of states at the Fermi level (states/eV/cell): 1.84
Raw formation energy (eV per formula unit): -5.0
M_tot (Bohr magnetons per cell): 0.00
Calculated volume (Å³ per cell): 126
Crystal system: tetragonal

Unit cell a=4.9329 b=4.9329 c=5.1605 alpha=90.00 beta=90.00 gamma=90.00
Space group P4/mmm (No. 123)
Asymmetric unit:
Rb (0.0000, 0.0000, 0.0000) [1 per cell]
Cu (0.5000, 0.5000, 0.5000) [1 per cell]
Br (0.5000, 0.5000, 0.0000) [1 per cell]
Cl (0.0000, 0.5000, 0.5000) [2 per cell]